# 1
SrPaAgO5 GGA-PBE optimized geometry; spin magnetization = 0.000 μB per formula unit; total DFT energy (no corrections) = -7.07 eV/atom; SG = No. 15; formation energy (no corrections) = -2221 meV/atom; DOS(E_F) = 0.111 states/eV per atom
1.0
3.290 -5.172 0.000
3.290 5.172 0.000
-2.616 0.000 7.738
Sr Pa Ag O
2 2 2 10
direct
0.183 0.817 0.750 Sr
0.817 0.183 0.250 Sr
0.500 0.500 0.000 Pa
0.500 0.500 0.500 Pa
0.161 0.839 0.250 Ag
0.839 0.161 0.750 Ag
0.142 0.176 0.920 O
0.176 0.142 0.420 O
0.260 0.665 0.427 O
0.335 0.740 0.073 O
0.424 0.576 0.750 O
0.576 0.424 0.250 O
0.665 0.260 0.927 O
0.740 0.335 0.573 O
0.824 0.858 0.580 O
0.858 0.824 0.080 O

***

# 2
ScTa2Mo GGA-PBE optimized geometry; spin magnetization = 0.000 μB per formula unit; total DFT energy (no corrections) = -10.12 eV/atom; polymorph energy (0 for the lowest one) = 38 meV per atom; SG = No. 6; DOS(E_F) = 1.241 states/eV per atom; energy of formation from the pure elements = 9.1 kJ/mol of atoms
1.0
2.863 0.000 0.000
0.000 4.645 0.000
-1.034 0.000 5.494
Sc Ta Mo
1 2 1
direct
0.000 0.000 0.000 Sc
0.408 0.000 0.514 Ta
0.692 0.500 0.263 Ta
0.214 0.500 0.746 Mo

***

# 3
ZnW4 GGA-PBE optimized geometry; spin magnetization = 0.000 μB per formula unit; total DFT energy (no corrections) = -9.59 eV/atom; polymorph energy (0 for the lowest one) = 815 meV per atom; SG = No. 139; DOS(E_F) = 0.740 states/eV per atom; energy of formation from the pure elements = 99.3 kJ/mol of atoms
1.0
-2.082 2.082 5.672
2.082 -2.082 5.672
2.082 2.082 -5.672
Zn W
1 4
direct
0.000 0.000 0.000 Zn
0.250 0.750 0.500 W
0.384 0.384 0.000 W
0.616 0.616 0.000 W
0.750 0.250 0.500 W

***

| no. | volume (Å³/f.u.) |
| --- | --- |
| 1 | 131.7 |
| 2 | 73.1 |
| 3 | 98.4 |